No. 1
The following is a DFT calculation (GGA-PBE) of crystalline Sm2Er6Tm at its relaxed geometry.

abc: 5.0062 10.5758 10.5750
angles: 90.00 90.00 90.00
Sites, in units of the cell vectors:
1 Sm 0.0000 0.3340 0.8338
2 Sm 0.5000 0.8340 0.6661
3 Sm 0.5000 0.1660 0.3339
4 Sm 0.0000 0.6660 0.1662
5 Er 0.0000 0.0005 0.1662
6 Er 0.0000 0.6662 0.5006
7 Er 0.0000 0.6670 0.8332
8 Er 0.5000 0.1670 0.6668
9 Er 0.5000 0.1662 0.9994
10 Er 0.5000 0.5005 0.3338
11 Er 0.0000 0.9995 0.8338
12 Er 0.0000 0.3338 0.4994
13 Er 0.0000 0.3330 0.1668
14 Er 0.5000 0.8330 0.3332
15 Er 0.5000 0.8338 0.0006
16 Er 0.5000 0.4995 0.6662
17 Tm 0.5000 0.5000 0.0000
18 Tm 0.0000 0.0000 0.5000

Output
Energy above the most stable polymorph in this dataset   0 meV per atom
Space group   P4_2/mnm, No. 136

No. 2
The following is a DFT calculation (GGA-PBE) of crystalline SmErTm2 at its relaxed geometry.

abc: 3.6080 6.6607 6.6607
angles: 55.72 74.29 74.29
Sites, in units of the cell vectors:
1 Sm 0.2500 0.1685 0.3315
2 Er 0.7500 0.6656 0.8344
3 Tm 0.0011 0.0815 0.9156
4 Tm 0.4989 0.5844 0.4185

Output
Energy above the most stable polymorph in this dataset   1 meV per atom
Space group   Imm2, No. 44

No. 3
The following is a DFT calculation (GGA-PBE) of crystalline Sm7Er6Tm16 at its relaxed geometry.

abc: 10.9297 10.9297 10.9297
angles: 60.00 60.00 60.00
Sites, in units of the cell vectors:
1 Sm 0.0000 0.0000 0.0000
2 Sm 0.5000 0.0000 0.5000
3 Sm 0.0000 0.5000 0.0000
4 Sm 0.0000 0.5000 0.5000
5 Sm 0.5000 0.0000 0.0000
6 Sm 0.0000 0.0000 0.5000
7 Sm 0.5000 0.5000 0.0000
8 Er 0.2246 0.7754 0.2246
9 Er 0.7754 0.2246 0.7754
10 Er 0.7754 0.2246 0.2246
11 Er 0.2246 0.7754 0.7754
12 Er 0.7754 0.7754 0.2246
13 Er 0.2246 0.2246 0.7754
14 Tm 0.8512 0.8512 0.4465
15 Tm 0.8512 0.8512 0.8512
16 Tm 0.8512 0.4465 0.8512
17 Tm 0.4465 0.8512 0.8512
18 Tm 0.1488 0.1488 0.1488
19 Tm 0.1488 0.1488 0.5535
20 Tm 0.1488 0.5535 0.1488
21 Tm 0.5535 0.1488 0.1488
22 Tm 0.6137 0.6137 0.1589
23 Tm 0.6137 0.6137 0.6137
24 Tm 0.6137 0.1589 0.6137
25 Tm 0.1589 0.6137 0.6137
26 Tm 0.3863 0.3863 0.3863
27 Tm 0.3863 0.3863 0.8411
28 Tm 0.3863 0.8411 0.3863
29 Tm 0.8411 0.3863 0.3863

Output
Space group   Fm-3m, No. 225

No. 4
The following is a DFT calculation (GGA-PBE) of crystalline Sm3Er2Tm7 at its relaxed geometry.

abc: 3.5282 5.7477 18.5773
angles: 93.08 90.00 90.00
Sites, in units of the cell vectors:
1 Sm 0.5000 0.5000 0.0000
2 Sm 0.0000 0.2222 0.3671
3 Sm 0.0000 0.7778 0.6329
4 Er 0.5000 0.7096 0.2919
5 Er 0.5000 0.2904 0.7081
6 Tm 0.5000 0.7429 0.4621
7 Tm 0.5000 0.2571 0.5379
8 Tm 0.0000 0.6902 0.1432
9 Tm 0.0000 0.0000 0.0000
10 Tm 0.0000 0.3098 0.8568
11 Tm 0.5000 0.8070 0.8243
12 Tm 0.5000 0.1930 0.1757

Output
Space group   P2/m, No. 10

no.,final energy (eV/atom),energy relative to the elements (eV per atom)
1,-4.57,0.022
2,-4.55,0.009
3,-4.36,0.193
4,-4.46,0.092